U2TiTl3Te6 | PBE | optimized geometry

- magnetic moment (μB per formula unit) = 7.001
- energy (eV/cell) = -62.68
- crystal system = monoclinic
- D(E_F) (states/eV/atom) = 1.0167
- energy relative to the elements, uncorrected (eV/atom) = -0.521

Unit cell a=7.406 b=7.406 c=8.721 alpha=98.18 beta=98.18 gamma=119.96
Sites, in units of the cell vectors:
U: 0.165 0.835 0.000
U: 0.835 0.165 0.000
Ti: 0.500 0.500 0.000
Tl: 0.000 0.000 0.500
Tl: 0.325 0.675 0.500
Tl: 0.675 0.325 0.500
Te: 0.116 0.431 0.792
Te: 0.257 0.257 0.215
Te: 0.431 0.116 0.792
Te: 0.569 0.884 0.208
Te: 0.743 0.743 0.785
Te: 0.884 0.569 0.208